[1]
## SrZnCdTe3 (GGA-PBE)

Data for an optimized crystal structure of SrZnCdTe3.

The energy is -2.961 eV/atom.

The structure belongs to space group Cmcm (No. 63); the cell edges are 4.345, 14.529 and 11.559 Å and the angles 90.00°, 90.00° and 90.00°. Symmetry generates all atoms from Sr at (0.000, 0.242, 0.250), Zn at (0.000, 0.466, 0.750), Cd at (0.000, 0.000, 0.000), Te at (0.000, 0.079, 0.750) and Te at (0.000, 0.360, 0.562).


[2]
## SrZnCdTe3 (GGA-PBE)

Data for an optimized crystal structure of SrZnCdTe3.

The energy is -2.858 eV/atom.

The structure belongs to space group Cmcm (No. 63); the cell edges are 4.312, 14.616 and 11.588 Å and the angles 90.00°, 90.00° and 90.00°. Symmetry generates all atoms from Sr at (0.000, 0.229, 0.250), Zn at (0.000, 0.000, 0.000), Cd at (0.000, 0.478, 0.750), Te at (0.000, 0.100, 0.750) and Te at (0.000, 0.369, 0.550).


[3]
## SrThCd (GGA-PBE)

Data for an optimized crystal structure of SrThCd.

The energy is -2.960 eV/atom.

The structure belongs to space group F-43m (No. 216); the cell edges are 7.606, 7.606 and 7.606 Å and the angles 90.00°, 90.00° and 90.00°. Symmetry generates all atoms from Sr at (0.000, 0.000, 0.000), Th at (0.000, 0.000, 0.500) and Cd at (0.250, 0.250, 0.250).


[4]
## Sr4TlCd (GGA-PBE)

Data for an optimized crystal structure of Sr4TlCd.

The energy is -1.938 eV/atom.

The structure belongs to space group P4/mmm (No. 123); the cell edges are 4.103, 4.103 and 14.336 Å and the angles 90.00°, 90.00° and 90.00°. Symmetry generates all atoms from Sr at (0.000, 0.000, 0.136), Sr at (0.500, 0.500, 0.362), Tl at (0.000, 0.000, 0.500) and Cd at (0.500, 0.500, 0.000).